Compound: SmEr2Mg
Source: Alexandria via LeMat-Bulk
Functional: PBE-GGA
Structure: optimized geometry

a = 4.9468 Å, b = 4.8878 Å, c = 4.8878 Å
α = 90.00°, β = 90.00°, γ = 90.00°
Sites, in units of the cell vectors:
Mg 0.5000 0.0000 0.0000
Er 0.0000 0.5000 0.0000
Er 0.0000 0.0000 0.5000
Sm 0.5000 0.5000 0.5000

Summary:
ΔE_f, kcal/mol of atoms: 0.6
D(E_F), states/eV per cell: 7.13
Spin magnetization, μB/cell: 0.01
Offset from the most stable computed form, meV/atom: 53


Compound: SmEr14Mg
Source: Alexandria via LeMat-Bulk
Functional: PBE-GGA
Structure: optimized geometry

a = 6.9853 Å, b = 6.9853 Å, c = 9.9109 Å
α = 90.00°, β = 90.00°, γ = 90.00°
Sites, in units of the cell vectors:
Er 0.3758 0.6242 0.2491
Er 0.6249 0.8750 0.0000
Er 0.6249 0.3751 0.0000
Er 0.8741 0.1259 0.7510
Er 0.3758 0.1258 0.7509
Er 0.3758 0.6242 0.7509
Er 0.8742 0.6242 0.2491
Er 0.8742 0.6242 0.7509
Er 0.6251 0.8751 0.5000
Er 0.1250 0.8750 0.0000
Er 0.1250 0.3751 0.0000
Er 0.3758 0.1258 0.2491
Er 0.8741 0.1259 0.2490
Er 0.1249 0.3749 0.5000
Mg 0.1255 0.8745 0.5000
Sm 0.6250 0.3750 0.5000

Summary:
ΔE_f, kcal/mol of atoms: 0.6
D(E_F), states/eV per cell: 18.77
Spin magnetization, μB/cell: 0.00


Compound: Sm2Er4Mg
Source: Alexandria via LeMat-Bulk
Functional: PBE-GGA
Structure: optimized geometry

a = 6.0254 Å, b = 6.4961 Å, c = 11.4124 Å
α = 90.00°, β = 105.20°, γ = 90.00°
Sites, in units of the cell vectors:
Sm 0.6100 0.7500 0.0034
Sm 0.2833 0.2500 0.4240
Sm 0.3900 0.2500 0.9966
Sm 0.7167 0.7500 0.5760
Er 0.3540 0.9989 0.7128
Er 0.3540 0.5011 0.7128
Er 0.9690 0.2500 0.1252
Er 0.1433 0.7500 0.4410
Er 0.0310 0.7500 0.8748
Er 0.6460 0.4989 0.2872
Er 0.8567 0.2500 0.5590
Er 0.6460 0.0011 0.2872
Mg 0.8401 0.2500 0.8326
Mg 0.1599 0.7500 0.1674

Summary:
ΔE_f, kcal/mol of atoms: 2.4
D(E_F), states/eV per cell: 18.86
Spin magnetization, μB/cell: 0.00


Compound: SmErMg
Source: Alexandria via LeMat-Bulk
Functional: PBE-GGA
Structure: optimized geometry

a = 3.6921 Å, b = 5.5345 Å, c = 8.8046 Å
α = 90.00°, β = 102.10°, γ = 90.00°
Sites, in units of the cell vectors:
Er 0.2284 0.7500 0.4568
Er 0.7716 0.2500 0.5432
Sm 0.9084 0.7500 0.8168
Sm 0.0916 0.2500 0.1832
Mg 0.5693 0.7500 0.1386
Mg 0.4307 0.2500 0.8614

Summary:
ΔE_f, kcal/mol of atoms: -1.5
D(E_F), states/eV per cell: 7.10
Spin magnetization, μB/cell: 0.00
Offset from the most stable computed form, meV/atom: 0


Compound: Sm7ErMg2
Source: Alexandria via LeMat-Bulk
Functional: PBE-GGA
Structure: optimized geometry

a = 5.2921 Å, b = 9.4002 Å, c = 9.4002 Å
α = 124.06°, β = 90.00°, γ = 90.00°
Sites, in units of the cell vectors:
Sm 0.5000 0.0701 0.2965
Sm 0.5000 0.7035 0.9299
Sm 0.0000 0.2108 0.7892
Sm 0.0000 0.7892 0.2108
Sm 0.5000 0.5000 0.5000
Sm 0.5000 0.2965 0.0701
Sm 0.5000 0.9299 0.7035
Mg 0.5000 0.7014 0.2986
Mg 0.5000 0.2986 0.7014
Er 0.0000 0.0000 0.0000

Summary:
ΔE_f, kcal/mol of atoms: 12.5
D(E_F), states/eV per cell: 15.29
Spin magnetization, μB/cell: 0.00


Compound: Sm7Er4Mg
Source: Alexandria via LeMat-Bulk
Functional: PBE-GGA
Structure: optimized geometry

a = 5.5118 Å, b = 6.2452 Å, c = 13.0663 Å
α = 76.28°, β = 77.82°, γ = 63.81°
Sites, in units of the cell vectors:
Er 0.5459 0.6869 0.2213
Er 0.9084 0.5554 0.6277
Er 0.4541 0.3131 0.7787
Er 0.0916 0.4446 0.3723
Sm 0.1610 0.9343 0.7437
Sm 0.3610 0.8101 0.4680
Sm 0.2261 0.4450 0.1028
Sm 0.8390 0.0657 0.2563
Sm 0.5000 0.0000 0.0000
Sm 0.6390 0.1899 0.5320
Sm 0.7739 0.5550 0.8972
Mg 0.0000 0.0000 0.0000

Summary:
ΔE_f, kcal/mol of atoms: 4.9
D(E_F), states/eV per cell: 15.88
Spin magnetization, μB/cell: 0.00


Compound: Sm12Er5Mg2
Source: Alexandria via LeMat-Bulk
Functional: PBE-GGA
Structure: optimized geometry

a = 9.1616 Å, b = 9.0916 Å, c = 8.5106 Å
α = 91.75°, β = 90.00°, γ = 120.26°
Sites, in units of the cell vectors:
Sm 0.5593 0.1186 0.3390
Sm 0.6655 0.7001 0.7633
Sm 0.8210 0.2530 0.6765
Sm 0.9654 0.2999 0.2367
Sm 0.3345 0.2999 0.2367
Sm 0.4407 0.8814 0.6610
Sm 0.0819 0.1638 0.8828
Sm 0.4320 0.2530 0.6765
Sm 0.9181 0.8362 0.1172
Sm 0.1790 0.7470 0.3235
Sm 0.5680 0.7470 0.3235
Sm 0.0346 0.7001 0.7633
Er 0.2322 0.4643 0.5734
Er 0.2978 0.5957 0.9776
Er 0.0000 0.0000 0.5000
Er 0.7678 0.5357 0.4266
Er 0.7022 0.4043 0.0224
Mg 0.6653 0.0000 0.0000
Mg 0.3347 0.0000 0.0000

Summary:
ΔE_f, kcal/mol of atoms: 2.2
D(E_F), states/eV per cell: 30.44
Spin magnetization, μB/cell: 0.00


Compound: SmEr5Mg4
Source: Alexandria via LeMat-Bulk
Functional: PBE-GGA
Structure: optimized geometry

a = 3.7169 Å, b = 3.7169 Å, c = 20.1716 Å
α = 90.00°, β = 90.00°, γ = 90.00°
Sites, in units of the cell vectors:
Sm 0.0000 0.0000 0.0000
Mg 0.0000 0.0000 0.5951
Mg 0.0000 0.0000 0.4049
Mg 0.0000 0.0000 0.2164
Mg 0.0000 0.0000 0.7836
Er 0.5000 0.5000 0.6891
Er 0.5000 0.5000 0.8797
Er 0.5000 0.5000 0.3109
Er 0.5000 0.5000 0.1203
Er 0.5000 0.5000 0.5000

Summary:
ΔE_f, kcal/mol of atoms: -1.0
D(E_F), states/eV per cell: 14.15
Spin magnetization, μB/cell: 0.00


Compound: Sm3ErMg8
Source: Alexandria via LeMat-Bulk
Functional: PBE-GGA
Structure: optimized geometry

a = 6.0833 Å, b = 6.0833 Å, c = 10.4913 Å
α = 73.15°, β = 73.15°, γ = 60.00°
Sites, in units of the cell vectors:
Mg 0.9376 0.4389 0.6859
Mg 0.4373 0.9365 0.1888
Mg 0.6875 0.6875 0.9374
Mg 0.1874 0.1874 0.4379
Mg 0.9365 0.4373 0.1888
Mg 0.9376 0.9376 0.6859
Mg 0.4373 0.4373 0.1888
Mg 0.4389 0.9376 0.6859
Sm 0.9994 0.9994 0.0019
Sm 0.5004 0.5004 0.4988
Sm 0.3752 0.3752 0.8743
Er 0.8748 0.8748 0.3755

Summary:
ΔE_f, kcal/mol of atoms: -1.9
D(E_F), states/eV per cell: 11.99
Spin magnetization, μB/cell: 0.00


Compound: SmEr8Mg2
Source: Alexandria via LeMat-Bulk
Functional: PBE-GGA
Structure: optimized geometry

a = 5.6023 Å, b = 8.6677 Å, c = 8.8087 Å
α = 60.53°, β = 77.94°, γ = 64.87°
Sites, in units of the cell vectors:
Mg 0.0000 0.3070 0.3861
Mg 0.0000 0.6930 0.6139
Sm 0.5000 0.0000 0.0000
Er 0.1298 0.6789 0.2236
Er 0.7029 0.5929 0.0000
Er 0.5000 0.7857 0.4285
Er 0.8702 0.0974 0.2236
Er 0.8702 0.3211 0.7764
Er 0.1298 0.9026 0.7764
Er 0.2971 0.4071 0.0000
Er 0.5000 0.2143 0.5715

Summary:
ΔE_f, kcal/mol of atoms: 3.6
D(E_F), states/eV per cell: 13.88
Spin magnetization, μB/cell: 0.00


Compound: Sm5Er2Mg
Source: Alexandria via LeMat-Bulk
Functional: PBE-GGA
Structure: optimized geometry

a = 5.2065 Å, b = 6.2295 Å, c = 17.5486 Å
α = 90.00°, β = 90.00°, γ = 114.70°
Sites, in units of the cell vectors:
Sm 0.4672 0.9345 0.2500
Sm 0.3529 0.7058 0.4623
Sm 0.6471 0.2942 0.5377
Sm 0.0510 0.1020 0.4075
Sm 0.3529 0.7058 0.0377
Sm 0.5328 0.0655 0.7500
Sm 0.6471 0.2942 0.9623
Sm 0.0510 0.1020 0.0925
Sm 0.9490 0.8980 0.5925
Sm 0.9490 0.8980 0.9075
Er 0.7543 0.5086 0.1525
Er 0.2457 0.4914 0.8475
Er 0.7543 0.5086 0.3475
Er 0.2457 0.4914 0.6525
Mg 0.8197 0.6394 0.7500
Mg 0.1803 0.3606 0.2500

Summary:
ΔE_f, kcal/mol of atoms: 1.7
D(E_F), states/eV per cell: 23.93
Spin magnetization, μB/cell: 0.00
Offset from the most stable computed form, meV/atom: 64


Compound: SmEr6Mg
Source: Alexandria via LeMat-Bulk
Functional: PBE-GGA
Structure: optimized geometry

a = 8.4874 Å, b = 9.2844 Å, c = 6.2917 Å
α = 42.38°, β = 47.57°, γ = 56.79°
Sites, in units of the cell vectors:
Er 0.2422 0.0450 0.1804
Er 0.5326 0.2422 0.2707
Er 0.4674 0.7578 0.7293
Er 0.7578 0.9550 0.8196
Er 0.0452 0.4676 0.2448
Er 0.9548 0.5324 0.7552
Mg 0.0000 0.0000 0.0000
Sm 0.5000 0.5000 0.5000

Summary:
ΔE_f, kcal/mol of atoms: 3.2
D(E_F), states/eV per cell: 11.61
Spin magnetization, μB/cell: 0.00
Offset from the most stable computed form, meV/atom: 105